Record 1
# PBE-GGA Tm3Sc2Tl2, relaxed
data_Tm3Sc2Tl2
_cell_length_a 3.5223
_cell_length_b 4.9933
_cell_length_c 11.1477
_cell_angle_alpha 102.94
_cell_angle_beta 99.09
_cell_angle_gamma 90.00
_space_group_name_H-M_alt 'P 1'
_space_group_IT_number 1
_space_group_name_Hall 'P 1'
loop_
_atom_site_label
_atom_site_fract_x
_atom_site_fract_y
_atom_site_fract_z
Tl1 0.3535 0.8535 0.7069
Tl2 0.6465 0.1465 0.2931
Tm1 0.2027 0.7027 0.4054
Tm2 0.0000 0.0000 0.0000
Tm3 0.7973 0.2973 0.5946
Sc1 0.4304 0.4304 0.8608
Sc2 0.5696 0.5696 0.1392
# E_tot ... -4.533 eV/atom
# Energy of formation from the pure elements ... -0.1313 eV per atom

=====

Record 2
# PBE-GGA TmSc9Tl2, relaxed
data_TmSc9Tl2
_cell_length_a 4.5494
_cell_length_b 4.5494
_cell_length_c 13.9976
_cell_angle_alpha 90.00
_cell_angle_beta 90.00
_cell_angle_gamma 90.00
_space_group_name_H-M_alt 'P 1'
_space_group_IT_number 1
_space_group_name_Hall 'P 1'
loop_
_atom_site_label
_atom_site_fract_x
_atom_site_fract_y
_atom_site_fract_z
Tl1 0.0000 0.0000 0.6614
Tl2 0.0000 0.0000 0.3386
Sc1 0.5000 0.0000 0.1736
Sc2 0.0000 0.5000 0.1736
Sc3 0.5000 0.5000 0.0000
Sc4 0.0000 0.5000 0.8264
Sc5 0.5000 0.5000 0.3394
Sc6 0.5000 0.0000 0.8264
Sc7 0.5000 0.0000 0.5000
Sc8 0.0000 0.5000 0.5000
Sc9 0.5000 0.5000 0.6606
Tm1 0.0000 0.0000 0.0000
# E_tot ... -5.620 eV/atom
# Energy of formation from the pure elements ... -0.1045 eV per atom

=====

Record 3
# PBE-GGA Tm6Sc5Tl, relaxed
data_Tm6Sc5Tl
_cell_length_a 11.1062
_cell_length_b 5.8595
_cell_length_c 5.8616
_cell_angle_alpha 60.01
_cell_angle_beta 84.92
_cell_angle_gamma 79.80
_space_group_name_H-M_alt 'P 1'
_space_group_IT_number 1
_space_group_name_Hall 'P 1'
loop_
_atom_site_label
_atom_site_fract_x
_atom_site_fract_y
_atom_site_fract_z
Tm1 0.2511 0.9161 0.6661
Tm2 0.2511 0.5822 0.3339
Tm3 0.7489 0.0839 0.3339
Tm4 0.2520 0.2496 0.0000
Tm5 0.7489 0.4178 0.6661
Tm6 0.7480 0.7504 0.0000
Sc1 0.5000 0.1661 0.6678
Sc2 0.5000 0.8339 0.3322
Sc3 0.5000 0.5000 0.0000
Sc4 0.0000 0.3337 0.3325
Sc5 0.0000 0.6663 0.6675
Tl1 0.0000 0.0000 0.0000
# E_tot ... -5.057 eV/atom
# Energy of formation from the pure elements ... 0.0142 eV per atom